No. 1
Ho2MgAl2Rh5 | the Alexandria database | PBE | optimized geometry; space group = P4/mbm (127); uncorrected energy = -6.33 eV per atom
1.0
9.951 0.000 0.000
0.000 9.951 0.000
0.000 0.000 3.431
Ho Mg Al Rh
4 2 4 10
direct
0.175 0.325 0.000
0.325 0.825 0.000
0.675 0.175 0.000
0.825 0.675 0.000
0.000 0.000 0.000
0.500 0.500 0.000
0.124 0.624 0.000
0.376 0.124 0.000
0.624 0.876 0.000
0.876 0.376 0.000
0.000 0.500 0.500
0.068 0.793 0.500
0.207 0.068 0.500
0.293 0.568 0.500
0.432 0.293 0.500
0.500 0.000 0.500
0.568 0.707 0.500
0.707 0.432 0.500
0.793 0.932 0.500
0.932 0.207 0.500

=====

No. 2
HoMgScAl | the Alexandria database | PBE | optimized geometry; space group = F-43m (216); uncorrected energy = -4.33 eV per atom
1.0
0.000 3.563 3.563
3.563 0.000 3.563
3.563 3.563 0.000
Ho Mg Sc Al
1 1 1 1
direct
0.000 0.000 0.000
0.750 0.750 0.750
0.500 0.500 0.500
0.250 0.250 0.250

=====

No. 3
SmHoMgAl | the Alexandria database | PBE | optimized geometry; space group = F-43m (216); uncorrected energy = -3.93 eV per atom
1.0
0.000 3.704 3.704
3.704 0.000 3.704
3.704 3.704 0.000
Sm Ho Mg Al
1 1 1 1
direct
0.000 0.000 0.000
0.500 0.500 0.500
0.250 0.250 0.250
0.750 0.750 0.750

=====

No. 4
HoMgAlTl | the Alexandria database | PBE | optimized geometry; space group = F-43m (216); uncorrected energy = -3.22 eV per atom
1.0
0.000 3.613 3.613
3.613 0.000 3.613
3.613 3.613 0.000
Ho Mg Al Tl
1 1 1 1
direct
0.000 0.000 0.000
0.500 0.500 0.500
0.750 0.750 0.750
0.250 0.250 0.250

=====

No. 5
HoTmMgAl | the Alexandria database | PBE | optimized geometry; space group = F-43m (216); uncorrected energy = -3.86 eV per atom
1.0
0.000 3.643 3.643
3.643 0.000 3.643
3.643 3.643 0.000
Ho Tm Mg Al
1 1 1 1
direct
0.000 0.000 0.000
0.500 0.500 0.500
0.250 0.250 0.250
0.750 0.750 0.750

=====

No. 6
HoMgAlZn | the Alexandria database | PBE | optimized geometry; space group = F-43m (216); uncorrected energy = -3.07 eV per atom
1.0
0.000 3.446 3.446
3.446 0.000 3.446
3.446 3.446 0.000
Ho Mg Al Zn
1 1 1 1
direct
0.000 0.000 0.000
0.500 0.500 0.500
0.750 0.750 0.750
0.250 0.250 0.250

=====

No. 7
Ho4MgAlZn2 | the Alexandria database | PBE | optimized geometry; space group = R-3m (166); uncorrected energy = -3.55 eV per atom
1.0
2.556 1.476 8.376
-2.556 1.476 8.376
0.000 -2.952 8.376
Ho Mg Al Zn
4 1 1 2
direct
0.121 0.121 0.121
0.372 0.372 0.372
0.628 0.628 0.628
0.879 0.879 0.879
0.500 0.500 0.500
0.000 0.000 0.000
0.245 0.245 0.245
0.755 0.755 0.755

=====

No. 8
HoMgZrAl | the Alexandria database | PBE | optimized geometry; space group = F-43m (216); uncorrected energy = -4.80 eV per atom
1.0
0.000 3.541 3.541
3.541 0.000 3.541
3.541 3.541 0.000
Ho Mg Zr Al
1 1 1 1
direct
0.000 0.000 0.000
0.750 0.750 0.750
0.500 0.500 0.500
0.250 0.250 0.250

=====

No. 9
HoMn2Al8 | the Alexandria database | PBE | optimized geometry; space group = C2/m (12); uncorrected energy = -4.88 eV per atom
1.0
4.134 -5.220 0.000
4.134 5.220 0.000
-1.039 0.000 4.543
Ho Mn Al
1 2 8
direct
0.000 0.000 0.000
0.290 0.710 0.500
0.710 0.290 0.500
0.091 0.352 0.599
0.284 0.716 0.000
0.352 0.091 0.599
0.390 0.390 0.237
0.610 0.610 0.763
0.648 0.909 0.401
0.716 0.284 0.000
0.909 0.648 0.401

=====

No. 10
HoMn2Al10 | the Alexandria database | PBE | optimized geometry; space group = Cmcm (63); uncorrected energy = -4.94 eV per atom
1.0
4.490 -5.105 0.000
4.490 5.105 0.000
0.000 0.000 9.033
Ho Mn Al
2 4 20
direct
0.127 0.873 0.750
0.873 0.127 0.250
0.000 0.500 0.000
0.000 0.500 0.500
0.500 0.000 0.000
0.500 0.000 0.500
0.134 0.413 0.750
0.155 0.845 0.096
0.155 0.845 0.404
0.217 0.476 0.250
0.229 0.229 0.000
0.229 0.229 0.500
0.374 0.626 0.543
0.374 0.626 0.957
0.413 0.134 0.250
0.476 0.217 0.750
0.524 0.783 0.250
0.587 0.866 0.750
0.626 0.374 0.043
0.626 0.374 0.457
0.771 0.771 0.000
0.771 0.771 0.500
0.783 0.524 0.750
0.845 0.155 0.596
0.845 0.155 0.904
0.866 0.587 0.250

=====

No. 11
HoMn6Al6 | the Alexandria database | PBE | optimized geometry; space group = Immm (71); uncorrected energy = -6.55 eV per atom
1.0
-2.461 4.294 4.394
2.461 -4.294 4.394
2.461 4.294 -4.394
Ho Mn Al
1 6 6
direct
0.000 0.000 0.000
0.000 0.000 0.500
0.000 0.500 0.000
0.236 0.500 0.736
0.500 0.000 0.000
0.500 0.500 0.500
0.764 0.500 0.264
0.196 0.696 0.500
0.338 0.000 0.338
0.346 0.346 0.000
0.654 0.654 0.000
0.662 0.000 0.662
0.804 0.304 0.500

=====

No. 12
HoMn4Al12 | the Alexandria database | PBE | optimized geometry; space group = Im-3m (229); uncorrected energy = -4.88 eV per atom
1.0
-4.548 4.548 4.548
4.548 -4.548 4.548
4.548 4.548 -4.548
Ho Mn Al
1 4 12
direct
0.000 0.000 0.000
0.000 0.000 0.500
0.000 0.500 0.000
0.500 0.000 0.000
0.500 0.500 0.500
0.000 0.265 0.735
0.000 0.735 0.265
0.265 0.000 0.735
0.265 0.265 0.531
0.265 0.531 0.265
0.265 0.735 0.000
0.469 0.735 0.735
0.531 0.265 0.265
0.735 0.000 0.265
0.735 0.265 0.000
0.735 0.469 0.735
0.735 0.735 0.469

=====

No. 13
HoMn5Al7 | the Alexandria database | PBE | optimized geometry; space group = Imm2 (44); uncorrected energy = -6.20 eV per atom
1.0
-2.480 4.374 4.343
2.480 -4.374 4.343
2.480 4.374 -4.343
Ho Mn Al
1 5 7
direct
0.000 0.000 0.000
0.229 0.729 0.500
0.493 0.003 0.011
0.493 0.482 0.490
0.993 0.003 0.510
0.993 0.482 0.989
0.210 0.500 0.710
0.327 0.986 0.342
0.335 0.335 0.000
0.644 0.986 0.658
0.657 0.657 0.000
0.770 0.270 0.500
0.791 0.500 0.290

=====

No. 14
HoMnAl4 | the Alexandria database | PBE | optimized geometry; space group = Immm (71); uncorrected energy = -5.00 eV per atom
1.0
-2.402 3.191 7.190
2.402 -3.191 7.190
2.402 3.191 -7.190
Ho Mn Al
2 2 8
direct
0.212 0.212 0.000
0.788 0.788 0.000
0.500 0.276 0.776
0.500 0.724 0.224
0.125 0.394 0.730
0.189 0.000 0.189
0.336 0.606 0.730
0.350 0.850 0.500
0.650 0.150 0.500
0.664 0.394 0.270
0.811 0.000 0.811
0.875 0.606 0.270

=====

No. 15
Ho2MnAl | the Alexandria database | PBE | optimized geometry; space group = P4/mmm (123); E above lowest polymorph = 0.000 eV/atom
1.0
3.550 0.000 0.000
0.000 3.550 0.000
0.000 0.000 7.151
Ho Mn Al
2 1 1
direct
0.000 0.000 0.240
0.000 0.000 0.760
0.500 0.500 0.000
0.500 0.500 0.500

=====

No. 16
HoMn4Al8 | the Alexandria database | PBE | optimized geometry; space group = I4/mmm (139); uncorrected energy = -5.82 eV per atom
1.0
-4.389 4.389 2.466
4.389 -4.389 2.466
4.389 4.389 -2.466
Ho Mn Al
1 4 8
direct
0.000 0.000 0.000
0.000 0.000 0.500
0.000 0.500 0.000
0.500 0.000 0.000
0.500 0.500 0.500
0.000 0.342 0.342
0.000 0.658 0.658
0.282 0.500 0.782
0.342 0.000 0.342
0.500 0.282 0.782
0.500 0.718 0.218
0.658 0.000 0.658
0.718 0.500 0.218

=====

No. 17
Ho2MnAl | the Alexandria database | PBE | optimized geometry; space group = R-3m (166); E above lowest polymorph = 0.531 eV/atom
1.0
1.646 0.951 10.442
-1.646 0.951 10.442
0.000 -1.901 10.442
Ho Mn Al
2 1 1
direct
0.090 0.090 0.090
0.910 0.910 0.910
0.000 0.000 0.000
0.500 0.500 0.500

=====

No. 18
Ho2MnAl | the Alexandria database | PBE | optimized geometry; space group = Fm-3m (225); E above lowest polymorph = 0.033 eV/atom
1.0
0.000 3.573 3.573
3.573 0.000 3.573
3.573 3.573 0.000
Ho Mn Al
2 1 1
direct
0.250 0.250 0.250
0.750 0.750 0.750
0.000 0.000 0.000
0.500 0.500 0.500

=====

No. 19
Ho2MnAl3 | the Alexandria database | PBE | optimized geometry; space group = R-3m (166); uncorrected energy = -5.34 eV per atom
1.0
2.776 1.603 4.391
-2.776 1.603 4.391
0.000 -3.206 4.391
Ho Mn Al
2 1 3
direct
0.126 0.126 0.126
0.874 0.874 0.874
0.500 0.500 0.500
0.000 0.500 0.500
0.500 0.000 0.500
0.500 0.500 0.000

=====

No. 20
NdHoMnAl | the Alexandria database | PBE | optimized geometry; space group = F-43m (216); uncorrected energy = -5.60 eV per atom
1.0
0.000 3.642 3.642
3.642 0.000 3.642
3.642 3.642 0.000
Nd Ho Mn Al
1 1 1 1
direct
0.000 0.000 0.000
0.500 0.500 0.500
0.250 0.250 0.250
0.750 0.750 0.750

=====

No. 21
Ho2Mn2AlNi5 | the Alexandria database | PBE | optimized geometry; space group = P4/mbm (127); uncorrected energy = -6.23 eV per atom
1.0
9.158 0.000 0.000
0.000 9.158 0.000
0.000 0.000 3.585
Ho Mn Al Ni
4 4 2 10
direct
0.179 0.321 0.000
0.321 0.821 0.000
0.679 0.179 0.000
0.821 0.679 0.000
0.120 0.620 0.000
0.380 0.120 0.000
0.620 0.880 0.000
0.880 0.380 0.000
0.000 0.000 0.000
0.500 0.500 0.000
0.000 0.500 0.500
0.057 0.797 0.500
0.203 0.057 0.500
0.297 0.557 0.500
0.443 0.297 0.500
0.500 0.000 0.500
0.557 0.703 0.500
0.703 0.443 0.500
0.797 0.943 0.500
0.943 0.203 0.500

=====

Number 1: calculated density 9018 kg/m3. Number 2: calculated density 4794 kg/m3. Number 3: calculated density 5988 kg/m3. Number 4: calculated density 7404 kg/m3. Number 5: calculated density 6616 kg/m3. Number 6: calculated density 5714 kg/m3. Number 7: calculated density 7373 kg/m3. Number 8: calculated density 5751 kg/m3. Number 9: calculated density 4155 kg/m3. Number 10: calculated density 4368 kg/m3. Number 11: calculated density 5868 kg/m3. Number 12: calculated density 3126 kg/m3. Number 13: calculated density 5538 kg/m3. Number 14: calculated density 4938 kg/m3. Number 15: calculated density 7585 kg/m3. Number 16: calculated density 5249 kg/m3. Number 17: calculated density 6974 kg/m3. Number 18: calculated density 7498 kg/m3. Number 19: calculated density 6595 kg/m3. Number 20: calculated density 6720 kg/m3. Number 21: calculated density 8398 kg/m3.